A:
Here is crystalline Pr6Sm3Ho at its relaxed geometry from the Alexandria database. Energies are from PBE-GGA.

Geometry as CIF:
```
data_Pr6Sm3Ho
_chemical_formula_sum 'Pr6 Sm3 Ho1'
_symmetry_space_group_name_H-M 'P 1'
_symmetry_Int_Tables_number 1
_cell_length_a 6.728
_cell_length_b 6.728
_cell_length_c 9.201
_cell_angle_alpha 104.02
_cell_angle_beta 104.02
_cell_angle_gamma 62.58
loop_
_symmetry_equiv_pos_as_xyz
'x,y,z'
loop_
_atom_site_label
_atom_site_fract_x
_atom_site_fract_y
_atom_site_fract_z
Pr1 0.075 0.547 0.200
Pr2 0.125 0.125 0.418
Pr3 0.453 0.925 0.800
Pr4 0.547 0.075 0.200
Pr5 0.875 0.875 0.582
Pr6 0.925 0.453 0.800
Sm1 0.424 0.424 0.832
Sm2 0.500 0.500 0.500
Sm3 0.576 0.576 0.168
Ho1 0.000 0.000 0.000
```

Results
Calculated volume ... 354.54 Å³/cell
Symmetry ... No. 12
D(E_F) ... 17.7 states/eV/cell


B:
Here is crystalline Pr6Sm3Ho at its relaxed geometry from the Alexandria database. Energies are from PBE-GGA.

Geometry as CIF:
```
data_Pr6Sm3Ho
_chemical_formula_sum 'Pr12 Sm6 Ho2'
_symmetry_space_group_name_H-M 'P 1'
_symmetry_Int_Tables_number 1
_cell_length_a 11.195
_cell_length_b 11.195
_cell_length_c 6.541
_cell_angle_alpha 90.00
_cell_angle_beta 90.00
_cell_angle_gamma 120.90
loop_
_symmetry_equiv_pos_as_xyz
'x,y,z'
loop_
_atom_site_label
_atom_site_fract_x
_atom_site_fract_y
_atom_site_fract_z
Pr1 0.034 0.966 0.500
Pr2 0.060 0.477 0.002
Pr3 0.279 0.721 0.291
Pr4 0.289 0.371 0.193
Pr5 0.371 0.289 0.693
Pr6 0.477 0.060 0.502
Pr7 0.523 0.940 0.002
Pr8 0.629 0.711 0.193
Pr9 0.711 0.629 0.693
Pr10 0.721 0.279 0.791
Pr11 0.940 0.523 0.502
Pr12 0.966 0.034 0.000
Sm1 0.056 0.290 0.599
Sm2 0.290 0.056 0.099
Sm3 0.384 0.616 0.720
Sm4 0.616 0.384 0.220
Sm5 0.710 0.944 0.599
Sm6 0.944 0.710 0.099
Ho1 0.192 0.808 0.748
Ho2 0.808 0.192 0.248
```

Results
Calculated volume ... 703.42 Å³/cell
Symmetry ... No. 36
D(E_F) ... 26.2 states/eV/cell


The data favor B; the next most stable structure lies 75 meV per atom above it.